Entry 1:
GaOs2Cl2 at its PBEsol-relaxed geometry, computed with meta-GGA SCAN.

POSCAR file:
```
GaOs2Cl2
1.0
-2.003 2.003 5.441
2.003 -2.003 5.441
2.003 2.003 -5.441
Ga Os Cl
1 2 2
direct
0.000 0.000 0.000
0.250 0.750 0.500
0.750 0.250 0.500
0.366 0.366 0.000
0.634 0.634 0.000
```

Computed properties:
- space-group type = I4/mmm (139)
- final energy (eV for the cell shown) = -168.98

Entry 2:
K2YCl5 at its PBEsol-relaxed geometry, computed with meta-GGA SCAN.

POSCAR file:
```
K2YCl5
1.0
12.556 0.000 0.000
0.000 8.454 0.000
0.000 0.000 7.870
K Y Cl
8 4 20
direct
0.172 0.005 0.057
0.172 0.495 0.057
0.328 0.505 0.557
0.328 0.995 0.557
0.672 0.005 0.443
0.672 0.495 0.443
0.828 0.505 0.943
0.828 0.995 0.943
0.005 0.250 0.575
0.495 0.750 0.075
0.505 0.250 0.925
0.995 0.750 0.425
0.011 0.250 0.915
0.073 0.544 0.665
0.073 0.956 0.665
0.178 0.250 0.382
0.200 0.750 0.344
0.300 0.250 0.844
0.322 0.750 0.882
0.427 0.044 0.165
0.427 0.456 0.165
0.489 0.750 0.415
0.511 0.250 0.585
0.573 0.544 0.835
0.573 0.956 0.835
0.678 0.250 0.118
0.700 0.750 0.156
0.800 0.250 0.656
0.822 0.750 0.618
0.927 0.044 0.335
0.927 0.456 0.335
0.989 0.750 0.085
```

Computed properties:
- space-group type = Pnma (62)
- final energy (eV for the cell shown) = -415.61

Entry 3:
Mg3FeSe at its PBEsol-relaxed geometry, computed with meta-GGA SCAN.

POSCAR file:
```
Mg3FeSe
1.0
4.875 0.000 0.000
0.000 4.875 0.000
0.000 0.000 4.875
Mg Fe Se
3 1 1
direct
0.000 0.000 0.500
0.000 0.500 0.000
0.500 0.000 0.000
0.000 0.000 0.000
0.500 0.500 0.500
```

Computed properties:
- space-group type = Pm-3m (221)
- final energy (eV for the cell shown) = -50.93

Entry 4:
Sr3AgAs at its PBEsol-relaxed geometry, computed with meta-GGA SCAN.

POSCAR file:
```
Sr3AgAs
1.0
5.870 0.000 0.000
0.000 5.870 0.000
0.000 0.000 5.870
Sr Ag As
3 1 1
direct
0.000 0.000 0.500
0.000 0.500 0.000
0.500 0.000 0.000
0.500 0.500 0.500
0.000 0.000 0.000
```

Computed properties:
- space-group type = Pm-3m (221)
- DFT formation energy (meV/atom) = -461

Entry 5:
BaSrN3 at its PBEsol-relaxed geometry, computed with meta-GGA SCAN.

POSCAR file:
```
BaSrN3
1.0
4.591 0.000 0.000
0.000 4.591 0.000
0.000 0.000 4.591
Ba Sr N
1 1 3
direct
0.000 0.000 0.000
0.500 0.500 0.500
0.000 0.000 0.500
0.000 0.500 0.000
0.500 0.000 0.000
```

Computed properties:
- space-group type = Pm-3m (221)
- final energy (eV for the cell shown) = -83.79

Entry 6:
Mn3As at its PBEsol-relaxed geometry, computed with meta-GGA SCAN.

POSCAR file:
```
Mn3As
1.0
0.000 2.818 2.818
2.818 0.000 2.818
2.818 2.818 0.000
Mn As
3 1
direct
0.000 0.000 0.000
0.250 0.250 0.250
0.750 0.750 0.750
0.500 0.500 0.500
```

Computed properties:
- space-group type = Fm-3m (225)
- DFT formation energy (meV/atom) = -202

Entry 7:
Cr2CdPt at its PBEsol-relaxed geometry, computed with meta-GGA SCAN.

POSCAR file:
```
Cr2CdPt
1.0
2.912 0.000 0.000
0.000 2.912 0.000
0.000 0.000 6.802
Cr Cd Pt
2 1 1
direct
0.000 0.000 0.000
0.500 0.500 0.163
0.500 0.500 0.706
0.000 0.000 0.414
```

Computed properties:
- space-group type = P4mm (99)
- DFT formation energy (meV/atom) = -62

Entry 8:
TlSnF3 at its PBEsol-relaxed geometry, computed with meta-GGA SCAN.

POSCAR file:
```
TlSnF3
1.0
4.627 0.000 0.000
0.000 4.627 0.000
0.000 0.000 4.627
Tl Sn F
1 1 3
direct
0.000 0.000 0.000
0.500 0.500 0.500
0.000 0.500 0.500
0.500 0.000 0.500
0.500 0.500 0.000
```

Computed properties:
- space-group type = Pm-3m (221)
- final energy (eV for the cell shown) = -128.84

Entry 9:
CaLaRu at its PBEsol-relaxed geometry, computed with meta-GGA SCAN.

POSCAR file:
```
CaLaRu
1.0
0.000 2.579 6.871
2.278 0.000 6.871
2.278 2.579 0.000
Ca La Ru
1 1 1
direct
0.000 0.000 0.000
0.753 0.753 0.247
0.366 0.366 0.634
```

Computed properties:
- space-group type = Fmm2 (42)
- energy above the lowest structure with this stoichiometry (eV per atom) = 0.000
- DFT formation energy (meV/atom) = -79

Entry 10:
TaBiAs2Se at its PBEsol-relaxed geometry, computed with meta-GGA SCAN.

POSCAR file:
```
TaBiAs2Se
1.0
5.197 0.000 0.000
0.000 5.197 0.000
0.000 0.000 5.226
Ta Bi As Se
1 1 2 1
direct
0.000 0.000 0.000
0.500 0.500 0.500
0.000 0.500 0.500
0.500 0.000 0.500
0.500 0.500 0.000
```

Computed properties:
- space-group type = P4/mmm (123)
- final energy (eV for the cell shown) = -197.10

Entry 11:
UFe5Si3 at its PBEsol-relaxed geometry, computed with meta-GGA SCAN.

POSCAR file:
```
UFe5Si3
1.0
3.865 0.000 0.000
0.000 3.865 0.000
0.000 0.000 7.450
U Fe Si
1 5 3
direct
0.000 0.000 0.000
0.000 0.500 0.312
0.000 0.500 0.688
0.500 0.000 0.312
0.500 0.000 0.688
0.500 0.500 0.500
0.000 0.000 0.500
0.500 0.500 0.157
0.500 0.500 0.843
```

Computed properties:
- space-group type = P4/mmm (123)
- final energy (eV for the cell shown) = -227.07

Entry 12:
KBeW at its PBEsol-relaxed geometry, computed with meta-GGA SCAN.

POSCAR file:
```
KBeW
1.0
2.777 0.000 0.000
-1.389 2.405 0.000
0.000 0.000 7.998
K Be W
1 1 1
direct
0.000 0.000 0.000
0.667 0.333 0.366
0.333 0.667 0.615
```

Computed properties:
- space-group type = P3m1 (156)
- energy above the lowest structure with this stoichiometry (eV per atom) = 0.000
- DFT formation energy (meV/atom) = 1162

Entry 13:
Ti5As3 at its PBEsol-relaxed geometry, computed with meta-GGA SCAN.

POSCAR file:
```
Ti5As3
1.0
9.699 0.000 0.000
0.000 7.702 0.000
0.000 0.000 6.665
Ti As
20 12
direct
0.002 0.250 0.027
0.060 0.053 0.698
0.060 0.447 0.698
0.210 0.750 0.339
0.231 0.250 0.328
0.269 0.750 0.828
0.290 0.250 0.839
0.440 0.553 0.198
0.440 0.947 0.198
0.498 0.750 0.527
0.502 0.250 0.473
0.560 0.053 0.802
0.560 0.447 0.802
0.710 0.750 0.161
0.731 0.250 0.172
0.769 0.750 0.672
0.790 0.250 0.661
0.940 0.553 0.302
0.940 0.947 0.302
0.998 0.750 0.973
0.021 0.750 0.586
0.175 0.509 0.070
0.175 0.991 0.070
0.325 0.009 0.570
0.325 0.491 0.570
0.479 0.250 0.086
0.521 0.750 0.914
0.675 0.509 0.430
0.675 0.991 0.430
0.825 0.009 0.930
0.825 0.491 0.930
0.979 0.250 0.414
```

Computed properties:
- space-group type = Pnma (62)
- DFT formation energy (meV/atom) = -967

Entry 14:
VP4O12 at its PBEsol-relaxed geometry, computed with meta-GGA SCAN.

POSCAR file:
```
VP4O12
1.0
8.425 -6.277 0.000
8.425 6.277 0.000
-1.106 0.000 5.061
V P O
2 8 24
direct
0.000 0.500 0.000
0.500 0.000 0.000
0.144 0.697 0.828
0.187 0.427 0.534
0.303 0.856 0.172
0.427 0.187 0.534
0.573 0.813 0.466
0.697 0.144 0.828
0.813 0.573 0.466
0.856 0.303 0.172
0.058 0.807 0.691
0.084 0.632 0.010
0.088 0.407 0.693
0.153 0.407 0.238
0.193 0.942 0.309
0.217 0.567 0.630
0.279 0.721 0.000
0.330 0.330 0.611
0.368 0.916 0.990
0.407 0.088 0.693
0.407 0.153 0.238
0.433 0.783 0.370
0.567 0.217 0.630
0.593 0.847 0.762
0.593 0.912 0.307
0.632 0.084 0.010
0.670 0.670 0.389
0.721 0.279 0.000
0.783 0.433 0.370
0.807 0.058 0.691
0.847 0.593 0.762
0.912 0.593 0.307
0.916 0.368 0.990
0.942 0.193 0.309
```

Computed properties:
- space-group type = C2/m (12)
- energy above the lowest structure with this stoichiometry (eV per atom) = 0.024

Entry 15:
LiCoAu at its PBEsol-relaxed geometry, computed with meta-GGA SCAN.

POSCAR file:
```
LiCoAu
1.0
-1.324 1.324 5.887
1.324 -1.324 5.887
1.324 1.324 -5.887
Li Co Au
1 1 1
direct
0.000 0.000 0.000
0.664 0.664 0.000
0.329 0.329 0.000
```

Computed properties:
- space-group type = I4mm (107)
- DFT formation energy (meV/atom) = 40

Entry 16:
La2YSc at its PBEsol-relaxed geometry, computed with meta-GGA SCAN.

POSCAR file:
```
La2YSc
1.0
1.755 1.013 11.377
-1.755 1.013 11.377
0.000 -2.026 11.377
La Y Sc
2 1 1
direct
0.000 0.000 0.000
0.245 0.245 0.245
0.755 0.755 0.755
0.498 0.498 0.498
```

Computed properties:
- space-group type = R3m (160)
- energy above the lowest structure with this stoichiometry (eV per atom) = 0.030
- DFT formation energy (meV/atom) = 77

Entry 17:
CaScP2Cl at its PBEsol-relaxed geometry, computed with meta-GGA SCAN.

POSCAR file:
```
CaScP2Cl
1.0
5.059 0.000 0.000
0.000 5.059 0.000
0.000 0.000 4.874
Ca Sc P Cl
1 1 2 1
direct
0.000 0.000 0.000
0.500 0.500 0.500
0.000 0.500 0.000
0.500 0.000 0.000
0.000 0.000 0.500
```

Computed properties:
- space-group type = P4/mmm (123)
- final energy (eV for the cell shown) = -52.95

Entry 18:
NaZn2SO at its PBEsol-relaxed geometry, computed with meta-GGA SCAN.

POSCAR file:
```
NaZn2SO
1.0
4.904 0.000 0.000
0.000 4.904 0.000
0.000 0.000 3.776
Na Zn S O
1 2 1 1
direct
0.000 0.000 0.000
0.000 0.500 0.000
0.500 0.000 0.000
0.500 0.500 0.500
0.000 0.000 0.500
```

Computed properties:
- space-group type = P4/mmm (123)
- final energy (eV for the cell shown) = -43.79

Entry 19:
PtBrCl at its PBEsol-relaxed geometry, computed with meta-GGA SCAN.

POSCAR file:
```
PtBrCl
1.0
0.000 3.647 6.349
1.745 0.000 6.349
1.745 3.647 0.000
Pt Br Cl
1 1 1
direct
0.000 0.000 0.000
0.370 0.370 0.630
0.620 0.620 0.380
```

Computed properties:
- space-group type = Fmm2 (42)
- final energy (eV for the cell shown) = -98.52

Entry 20:
BaCo2Os at its PBEsol-relaxed geometry, computed with meta-GGA SCAN.

POSCAR file:
```
BaCo2Os
1.0
1.486 0.858 9.003
-1.486 0.858 9.003
0.000 -1.716 9.003
Ba Co Os
1 2 1
direct
0.000 0.000 0.000
0.229 0.229 0.229
0.506 0.506 0.506
0.772 0.772 0.772
```

Computed properties:
- space-group type = R3m (160)
- energy above the lowest structure with this stoichiometry (eV per atom) = 0.903
- DFT formation energy (meV/atom) = 1186